[1]
Density functional theory data (PBE-GGA) for a relaxed KLaHo crystal.

Computed properties:
**ΔE to the lowest computed polymorph**: 0.0 meV per atom

Structure (CIF):
```
data_KLaHo
_chemical_formula_sum 'K1 La1 Ho1'
_symmetry_space_group_name_H-M 'P 1'
_symmetry_Int_Tables_number 1
_cell_length_a 5.9194
_cell_length_b 5.9194
_cell_length_c 5.9194
_cell_angle_alpha 60.00
_cell_angle_beta 60.00
_cell_angle_gamma 60.00
loop_
_symmetry_equiv_pos_as_xyz
'x,y,z'
loop_
_atom_site_label
_atom_site_fract_x
_atom_site_fract_y
_atom_site_fract_z
_atom_site_occupancy
K1 0.7500 0.7500 0.7500 1
Ho1 0.0000 0.0000 0.0000 1
La1 0.2500 0.2500 0.2500 1
```

[2]
Density functional theory data (PBE-GGA) for a relaxed GdDy3Tm2CoTe2 crystal.

Computed properties:
**Raw total energy**: -5.1870 eV/atom

Structure (CIF):
```
data_GdDy3Tm2CoTe2
_chemical_formula_sum 'Gd1 Dy3 Tm2 Co1 Te2'
_symmetry_space_group_name_H-M 'P 1'
_symmetry_Int_Tables_number 1
_cell_length_a 3.9031
_cell_length_b 8.3037
_cell_length_c 8.3037
_cell_angle_alpha 119.17
_cell_angle_beta 90.00
_cell_angle_gamma 90.00
loop_
_symmetry_equiv_pos_as_xyz
'x,y,z'
loop_
_atom_site_label
_atom_site_fract_x
_atom_site_fract_y
_atom_site_fract_z
_atom_site_occupancy
Co1 0.0000 0.0184 0.0184 1
Te1 0.5000 0.3298 0.6675 1
Te2 0.5000 0.6675 0.3298 1
Dy1 0.5000 0.7627 0.9968 1
Tm1 0.0000 0.3933 0.0003 1
Gd1 0.0000 0.5934 0.5934 1
Dy2 0.5000 0.2378 0.2378 1
Dy3 0.5000 0.9968 0.7627 1
Tm2 0.0000 0.0003 0.3933 1
```

[3]
Density functional theory data (PBE-GGA) for a relaxed PrFe2 crystal.

Computed properties:
**E_form**: 1.1825 eV/atom

Structure (CIF):
```
data_PrFe2
_chemical_formula_sum 'Pr2 Fe4'
_symmetry_space_group_name_H-M 'P 1'
_symmetry_Int_Tables_number 1
_cell_length_a 5.0575
_cell_length_b 5.0575
_cell_length_c 5.5292
_cell_angle_alpha 90.00
_cell_angle_beta 90.00
_cell_angle_gamma 90.00
loop_
_symmetry_equiv_pos_as_xyz
'x,y,z'
loop_
_atom_site_label
_atom_site_fract_x
_atom_site_fract_y
_atom_site_fract_z
_atom_site_occupancy
Pr1 0.0000 0.0000 0.0000 1
Pr2 0.5000 0.5000 0.5000 1
Fe1 0.3573 0.3573 0.0000 1
Fe2 0.6427 0.6427 0.0000 1
Fe3 0.8573 0.1427 0.5000 1
Fe4 0.1427 0.8573 0.5000 1
```

[4]
Density functional theory data (PBE-GGA) for a relaxed SmGe2IrPd crystal.

Computed properties:
**Raw total energy**: -6.3962 eV/atom

Structure (CIF):
```
data_SmGe2IrPd
_chemical_formula_sum 'Sm2 Ge4 Ir2 Pd2'
_symmetry_space_group_name_H-M 'P 1'
_symmetry_Int_Tables_number 1
_cell_length_a 4.2232
_cell_length_b 4.2232
_cell_length_c 10.4525
_cell_angle_alpha 90.00
_cell_angle_beta 90.00
_cell_angle_gamma 90.00
loop_
_symmetry_equiv_pos_as_xyz
'x,y,z'
loop_
_atom_site_label
_atom_site_fract_x
_atom_site_fract_y
_atom_site_fract_z
_atom_site_occupancy
Ir1 0.5000 0.5000 0.0000 1
Pd1 0.0000 0.5000 0.3639 1
Ir2 0.0000 0.0000 0.0000 1
Ge1 0.0000 0.0000 0.5000 1
Ge2 0.5000 0.5000 0.5000 1
Sm1 0.0000 0.5000 0.7517 1
Ge3 0.0000 0.5000 0.1284 1
Sm2 0.5000 0.0000 0.2483 1
Pd2 0.5000 0.0000 0.6361 1
Ge4 0.5000 0.0000 0.8716 1
```

[5]
Density functional theory data (PBE-GGA) for a relaxed ScAl2Zn crystal.

Computed properties:
**Raw total energy**: -4.1489 eV/atom

Structure (CIF):
```
data_ScAl2Zn
_chemical_formula_sum 'Sc2 Al4 Zn2'
_symmetry_space_group_name_H-M 'P 1'
_symmetry_Int_Tables_number 1
_cell_length_a 4.6713
_cell_length_b 5.8160
_cell_length_c 5.8160
_cell_angle_alpha 59.74
_cell_angle_beta 90.00
_cell_angle_gamma 90.00
loop_
_symmetry_equiv_pos_as_xyz
'x,y,z'
loop_
_atom_site_label
_atom_site_fract_x
_atom_site_fract_y
_atom_site_fract_z
_atom_site_occupancy
Zn1 0.0000 0.8366 0.3248 1
Sc1 0.0000 0.3328 0.3328 1
Al1 0.0000 0.8410 0.8410 1
Al2 0.5000 0.1608 0.6797 1
Al3 0.5000 0.6797 0.1608 1
Al4 0.5000 0.1572 0.1572 1
Sc2 0.5000 0.6670 0.6670 1
Zn2 0.0000 0.3248 0.8366 1
```

[6]
Density functional theory data (PBE-GGA) for a relaxed SmTe crystal.

Computed properties:
**Raw total energy**: -4.8384 eV/atom

Structure (CIF):
```
data_SmTe
_chemical_formula_sum 'Sm1 Te1'
_symmetry_space_group_name_H-M 'P 1'
_symmetry_Int_Tables_number 1
_cell_length_a 4.9436
_cell_length_b 4.9436
_cell_length_c 4.9436
_cell_angle_alpha 60.00
_cell_angle_beta 60.00
_cell_angle_gamma 60.00
loop_
_symmetry_equiv_pos_as_xyz
'x,y,z'
loop_
_atom_site_label
_atom_site_fract_x
_atom_site_fract_y
_atom_site_fract_z
_atom_site_occupancy
Sm1 0.0000 0.0000 0.0000 1
Te1 0.2500 0.2500 0.2500 1
```

[7]
Density functional theory data (PBE-GGA) for a relaxed K2SnHgTeSe3 crystal.

Computed properties:
**Raw total energy**: -3.1910 eV/atom

Structure (CIF):
```
data_K2SnHgTeSe3
_chemical_formula_sum 'K2 Sn1 Hg1 Te1 Se3'
_symmetry_space_group_name_H-M 'P 1'
_symmetry_Int_Tables_number 1
_cell_length_a 6.9828
_cell_length_b 6.9828
_cell_length_c 6.9207
_cell_angle_alpha 105.68
_cell_angle_beta 105.68
_cell_angle_gamma 117.54
loop_
_symmetry_equiv_pos_as_xyz
'x,y,z'
loop_
_atom_site_label
_atom_site_fract_x
_atom_site_fract_y
_atom_site_fract_z
_atom_site_occupancy
Se1 0.4349 0.0985 0.9943 1
Sn1 0.4894 0.4894 0.9913 1
Te1 0.9160 0.9160 0.3583 1
Se2 0.5597 0.5597 0.6596 1
K1 0.4995 0.0023 0.5040 1
Se3 0.0985 0.4349 0.9943 1
Hg1 0.9998 0.9998 0.9941 1
K2 0.0023 0.4995 0.5040 1
```

[8]
Density functional theory data (PBE-GGA) for a relaxed Sm3Mg3Ga2Ir crystal.

Computed properties:
**Raw total energy**: -4.2634 eV/atom

Structure (CIF):
```
data_Sm3Mg3Ga2Ir
_chemical_formula_sum 'Sm3 Mg3 Ga2 Ir1'
_symmetry_space_group_name_H-M 'P 1'
_symmetry_Int_Tables_number 1
_cell_length_a 7.3575
_cell_length_b 7.3575
_cell_length_c 4.4307
_cell_angle_alpha 90.00
_cell_angle_beta 90.00
_cell_angle_gamma 120.00
loop_
_symmetry_equiv_pos_as_xyz
'x,y,z'
loop_
_atom_site_label
_atom_site_fract_x
_atom_site_fract_y
_atom_site_fract_z
_atom_site_occupancy
Mg1 0.0000 0.2351 0.5000 1
Sm1 0.5956 0.0000 0.0000 1
Ir1 0.0000 0.0000 0.0000 1
Mg2 0.7649 0.7649 0.5000 1
Sm2 0.0000 0.5956 0.0000 1
Mg3 0.2351 0.0000 0.5000 1
Sm3 0.4044 0.4044 0.0000 1
Ga1 0.3333 0.6667 0.5000 1
Ga2 0.6667 0.3333 0.5000 1
```

[9]
Density functional theory data (PBE-GGA) for a relaxed InMoAu3S4 crystal.

Computed properties:
**Raw total energy**: -4.4283 eV/atom

Structure (CIF):
```
data_InMoAu3S4
_chemical_formula_sum 'In1 Mo1 Au3 S4'
_symmetry_space_group_name_H-M 'P 1'
_symmetry_Int_Tables_number 1
_cell_length_a 6.1266
_cell_length_b 6.1266
_cell_length_c 6.1266
_cell_angle_alpha 90.00
_cell_angle_beta 90.00
_cell_angle_gamma 90.00
loop_
_symmetry_equiv_pos_as_xyz
'x,y,z'
loop_
_atom_site_label
_atom_site_fract_x
_atom_site_fract_y
_atom_site_fract_z
_atom_site_occupancy
S1 0.2782 0.7218 0.7218 1
S2 0.2782 0.2782 0.2782 1
In1 0.0000 0.0000 0.0000 1
Mo1 0.5000 0.5000 0.5000 1
S3 0.7218 0.2782 0.7218 1
S4 0.7218 0.7218 0.2782 1
Au1 0.5000 0.0000 0.5000 1
Au2 0.5000 0.5000 0.0000 1
Au3 0.0000 0.5000 0.5000 1
```

[10]
Density functional theory data (PBE-GGA) for a relaxed SrHoAs crystal.

Computed properties:
**ΔE to the lowest computed polymorph**: 0.0 meV per atom

Structure (CIF):
```
data_SrHoAs
_chemical_formula_sum 'Sr1 Ho1 As1'
_symmetry_space_group_name_H-M 'P 1'
_symmetry_Int_Tables_number 1
_cell_length_a 5.0060
_cell_length_b 5.0060
_cell_length_c 5.0060
_cell_angle_alpha 60.00
_cell_angle_beta 60.00
_cell_angle_gamma 60.00
loop_
_symmetry_equiv_pos_as_xyz
'x,y,z'
loop_
_atom_site_label
_atom_site_fract_x
_atom_site_fract_y
_atom_site_fract_z
_atom_site_occupancy
Ho1 0.2500 0.2500 0.2500 1
Sr1 0.7500 0.7500 0.7500 1
As1 0.0000 0.0000 0.0000 1
```

[11]
Density functional theory data (PBE-GGA) for a relaxed KNdHgSe3 crystal.

Computed properties:
**Raw total energy**: -3.9054 eV/atom

Structure (CIF):
```
data_KNdHgSe3
_chemical_formula_sum 'K4 Nd4 Hg4 Se12'
_symmetry_space_group_name_H-M 'P 1'
_symmetry_Int_Tables_number 1
_cell_length_a 8.5343
_cell_length_b 4.5243
_cell_length_c 17.6029
_cell_angle_alpha 90.00
_cell_angle_beta 90.00
_cell_angle_gamma 90.00
loop_
_symmetry_equiv_pos_as_xyz
'x,y,z'
loop_
_atom_site_label
_atom_site_fract_x
_atom_site_fract_y
_atom_site_fract_z
_atom_site_occupancy
Se1 0.6275 0.2500 0.9447 1
K1 0.0815 0.7500 0.6962 1
K2 0.4185 0.2500 0.1962 1
Nd1 0.7759 0.2500 0.5399 1
Se2 0.2163 0.7500 0.2921 1
Nd2 0.2759 0.2500 0.9601 1
Se3 0.3725 0.7500 0.0553 1
Se4 0.7837 0.2500 0.7079 1
Se5 0.8725 0.7500 0.4447 1
Nd3 0.2241 0.7500 0.4601 1
Se6 0.9984 0.2500 0.0767 1
Hg1 0.4369 0.2500 0.6606 1
Nd4 0.7241 0.7500 0.0399 1
Hg2 0.5631 0.7500 0.3394 1
Se7 0.2837 0.2500 0.7921 1
Hg3 0.9369 0.2500 0.8394 1
Hg4 0.0631 0.7500 0.1606 1
Se8 0.4984 0.2500 0.4233 1
Se9 0.7163 0.7500 0.2079 1
Se10 0.5016 0.7500 0.5767 1
Se11 0.0016 0.7500 0.9233 1
Se12 0.1275 0.2500 0.5553 1
K3 0.5815 0.7500 0.8038 1
K4 0.9185 0.2500 0.3038 1
```

[12]
Density functional theory data (PBE-GGA) for a relaxed Tb2DyNiHg3Au2 crystal.

Computed properties:
**E_form**: -0.5866 eV/atom

Structure (CIF):
```
data_Tb2DyNiHg3Au2
_chemical_formula_sum 'Tb2 Dy1 Ni1 Hg3 Au2'
_symmetry_space_group_name_H-M 'P 1'
_symmetry_Int_Tables_number 1
_cell_length_a 3.7635
_cell_length_b 7.7903
_cell_length_c 7.7903
_cell_angle_alpha 119.93
_cell_angle_beta 90.00
_cell_angle_gamma 90.00
loop_
_symmetry_equiv_pos_as_xyz
'x,y,z'
loop_
_atom_site_label
_atom_site_fract_x
_atom_site_fract_y
_atom_site_fract_z
_atom_site_occupancy
Dy1 0.0000 0.6093 0.6093 1
Hg1 0.5000 0.7471 0.9998 1
Tb1 0.0000 0.3912 0.9998 1
Au1 0.5000 0.6663 0.3341 1
Ni1 0.0000 0.9995 0.9995 1
Au2 0.5000 0.3341 0.6663 1
Hg2 0.5000 0.2527 0.2527 1
Tb2 0.0000 0.9998 0.3912 1
Hg3 0.5000 0.9998 0.7471 1
```

Record order is preserved below.
V: 48.9 26.1 23.6 18.6 17.1 42.7 31.9 23.1 25.6 29.6 28.3 22.0 A^3/atom